# 1
Crystalline YSiO3 at its relaxed geometry, computed with PBE.

Cell lengths 3.678, 3.678, 3.678 Å; angles 90.00, 90.00, 90.00 degrees
Sites, in units of the cell vectors:
Y (0.500, 0.500, 0.500)
Si (0.000, 0.000, 0.000)
O (0.000, 0.500, 0.000)
O (0.000, 0.000, 0.500)
O (0.500, 0.000, 0.000)

Energy relative to the elements, uncorrected = -2.38 eV per atom
Magnetization = 0.00 μB/cell
Final energy = -7.7321 eV per atom



# 2
Crystalline Y2SiO5 at its relaxed geometry, computed with PBE.

Cell lengths 6.929, 6.840, 10.726 Å; angles 90.00, 122.42, 90.00 degrees
Sites, in units of the cell vectors:
Y (0.371, 0.232, 0.496)
Y (0.129, 0.732, 0.504)
Y (0.629, 0.768, 0.504)
Y (0.871, 0.268, 0.496)
Y (0.219, 0.552, 0.842)
Y (0.281, 0.052, 0.158)
Y (0.781, 0.448, 0.158)
Y (0.719, 0.948, 0.842)
Si (0.666, 0.479, 0.784)
Si (0.834, 0.979, 0.216)
Si (0.334, 0.521, 0.216)
Si (0.166, 0.021, 0.784)
O (0.462, 0.925, 0.603)
O (0.038, 0.425, 0.397)
O (0.538, 0.075, 0.397)
O (0.962, 0.575, 0.603)
O (0.101, 0.004, 0.911)
O (0.399, 0.504, 0.089)
O (0.899, 0.996, 0.089)
O (0.601, 0.496, 0.911)
O (0.207, 0.247, 0.752)
O (0.293, 0.747, 0.248)
O (0.793, 0.753, 0.248)
O (0.707, 0.253, 0.752)
O (0.452, 0.541, 0.616)
O (0.048, 0.041, 0.384)
O (0.548, 0.459, 0.384)
O (0.952, 0.959, 0.616)
O (0.630, 0.140, 0.171)
O (0.870, 0.640, 0.829)
O (0.370, 0.860, 0.829)
O (0.130, 0.360, 0.171)

Energy relative to the elements, uncorrected = -3.26 eV per atom
Magnetization = 0.00 μB/cell
Final energy = -8.6479 eV per atom



# 3
Crystalline Y3Si3O11 at its relaxed geometry, computed with PBE.

Cell lengths 7.442, 10.440, 11.376 Å; angles 90.00, 90.00, 97.12 degrees
Last column: magnetic moment on the atom in μB.
Sites, in units of the cell vectors:
Y (0.586, 0.179, 0.274)  0.00
Y (0.914, 0.321, 0.774)  0.00
Y (0.414, 0.821, 0.726)  0.00
Y (0.086, 0.679, 0.226)  0.00
Y (0.264, 0.517, 0.971)  -0.01
Y (0.236, 0.983, 0.471)  -0.01
Y (0.736, 0.483, 0.029)  -0.01
Y (0.764, 0.017, 0.529)  -0.01
Y (0.198, 0.000, 0.101)  -0.01
Y (0.302, 0.500, 0.601)  -0.01
Y (0.802, 0.000, 0.899)  -0.01
Y (0.698, 0.500, 0.399)  -0.01
Si (0.264, 0.386, 0.259)  0.00
Si (0.236, 0.114, 0.759)  0.00
Si (0.736, 0.614, 0.741)  0.00
Si (0.764, 0.886, 0.241)  0.00
Si (0.006, 0.290, 0.465)  0.00
Si (0.494, 0.210, 0.965)  0.00
Si (0.994, 0.710, 0.535)  0.00
Si (0.506, 0.790, 0.035)  0.00
Si (0.477, 0.758, 0.410)  0.00
Si (0.023, 0.742, 0.910)  0.00
Si (0.523, 0.242, 0.590)  0.00
Si (0.977, 0.258, 0.090)  0.00
O (0.236, 0.514, 0.183)  0.02
O (0.264, 0.986, 0.683)  0.02
O (0.764, 0.486, 0.817)  0.02
O (0.736, 0.014, 0.317)  0.02
O (0.476, 0.369, 0.281)  0.01
O (0.024, 0.131, 0.781)  0.01
O (0.524, 0.631, 0.719)  0.01
O (0.976, 0.869, 0.219)  0.01
O (0.038, 0.138, 0.479)  0.01
O (0.462, 0.362, 0.979)  0.01
O (0.962, 0.862, 0.521)  0.01
O (0.538, 0.638, 0.021)  0.01
O (0.172, 0.379, 0.392)  0.01
O (0.328, 0.121, 0.892)  0.01
O (0.828, 0.621, 0.608)  0.01
O (0.672, 0.879, 0.108)  0.01
O (0.152, 0.264, 0.183)  0.02
O (0.348, 0.236, 0.683)  0.02
O (0.848, 0.736, 0.817)  0.02
O (0.652, 0.764, 0.317)  0.02
O (0.472, 0.132, 0.090)  0.04
O (0.028, 0.368, 0.590)  0.04
O (0.528, 0.868, 0.910)  0.04
O (0.972, 0.632, 0.410)  0.04
O (0.486, 0.138, 0.482)  0.01
O (0.014, 0.362, 0.982)  0.01
O (0.514, 0.862, 0.518)  0.01
O (0.986, 0.638, 0.018)  0.01
O (0.310, 0.801, 0.098)  0.04
O (0.190, 0.699, 0.598)  0.04
O (0.690, 0.199, 0.902)  0.04
O (0.810, 0.301, 0.402)  0.04
O (0.290, 0.802, 0.352)  0.20
O (0.210, 0.698, 0.852)  0.20
O (0.710, 0.198, 0.648)  0.20
O (0.790, 0.302, 0.148)  0.20
O (0.458, 0.607, 0.447)  0.03
O (0.042, 0.893, 0.947)  0.03
O (0.542, 0.393, 0.553)  0.03
O (0.958, 0.107, 0.053)  0.03
O (0.313, 0.035, 0.287)  0.52
O (0.187, 0.465, 0.787)  0.52
O (0.687, 0.965, 0.713)  0.52
O (0.813, 0.535, 0.213)  0.52

Energy relative to the elements, uncorrected = -3.05 eV per atom
Magnetization = 4.30 μB/cell
Final energy = -8.3549 eV per atom



# 4
Crystalline YSiO3 at its relaxed geometry, computed with PBE.

Cell lengths 3.506, 4.903, 6.787 Å; angles 90.00, 90.00, 94.73 degrees
Sites, in units of the cell vectors:
Y (0.326, 0.508, 0.250)
Y (0.674, 0.492, 0.750)
Si (0.000, 0.000, 0.000)
Si (0.000, 0.000, 0.500)
O (0.735, 0.269, 0.452)
O (0.265, 0.731, 0.548)
O (0.265, 0.731, 0.952)
O (0.735, 0.269, 0.048)
O (0.887, 0.846, 0.250)
O (0.113, 0.154, 0.750)

Energy relative to the elements, uncorrected = -2.44 eV per atom
Magnetization = 0.00 μB/cell
Final energy = -7.7972 eV per atom



# 5
Crystalline YSiO3 at its relaxed geometry, computed with PBE.

Cell lengths 4.285, 4.285, 4.285 Å; angles 90.00, 90.00, 90.00 degrees
Last column: magnetic moment on the atom in μB.
Sites, in units of the cell vectors:
Y (0.000, 0.000, 0.000)  -0.02
Si (0.500, 0.500, 0.500)  0.04
O (0.000, 0.500, 0.000)  -0.27
O (0.000, 0.000, 0.500)  -0.44
O (0.500, 0.000, 0.000)  -0.23

Energy relative to the elements, uncorrected = -1.08 eV per atom
Magnetization = 1.00 μB/cell
Final energy = -6.4323 eV per atom



# 6
Crystalline Y2SiO5 at its relaxed geometry, computed with PBE.

Cell lengths 8.040, 8.040, 10.525 Å; angles 61.31, 61.31, 50.32 degrees
Sites, in units of the cell vectors:
Y (0.783, 0.292, 0.032)
Y (0.708, 0.217, 0.468)
Y (0.217, 0.708, 0.968)
Y (0.292, 0.783, 0.532)
Y (0.239, 0.474, 0.338)
Y (0.526, 0.761, 0.162)
Y (0.761, 0.526, 0.662)
Y (0.474, 0.239, 0.838)
Si (0.728, 0.908, 0.306)
Si (0.092, 0.272, 0.194)
Si (0.272, 0.092, 0.694)
Si (0.908, 0.728, 0.806)
O (0.424, 0.609, 0.104)
O (0.391, 0.576, 0.396)
O (0.576, 0.391, 0.896)
O (0.609, 0.424, 0.604)
O (0.872, 0.726, 0.432)
O (0.274, 0.128, 0.068)
O (0.128, 0.274, 0.568)
O (0.726, 0.872, 0.932)
O (0.555, 0.851, 0.324)
O (0.149, 0.445, 0.176)
O (0.445, 0.149, 0.676)
O (0.851, 0.555, 0.824)
O (0.162, 0.596, 0.824)
O (0.404, 0.838, 0.676)
O (0.838, 0.404, 0.176)
O (0.596, 0.162, 0.324)
O (0.918, 0.900, 0.637)
O (0.100, 0.082, 0.863)
O (0.082, 0.100, 0.363)
O (0.900, 0.918, 0.137)

Energy relative to the elements, uncorrected = -3.36 eV per atom
Magnetization = 0.00 μB/cell
Final energy = -8.7492 eV per atom



# 7
Crystalline Y3Si2O at its relaxed geometry, computed with PBE.

Cell lengths 5.946, 7.570, 6.560 Å; angles 99.89, 116.95, 90.00 degrees
Sites, in units of the cell vectors:
Y (0.395, 0.250, 0.000)
Y (0.605, 0.750, 0.000)
Y (0.044, 0.153, 0.300)
Y (0.744, 0.347, 0.700)
Y (0.256, 0.653, 0.300)
Y (0.956, 0.847, 0.700)
Si (0.788, 0.519, 0.345)
Si (0.557, 0.019, 0.345)
Si (0.443, 0.981, 0.655)
Si (0.212, 0.481, 0.655)
O (0.964, 0.750, 0.000)
O (0.036, 0.250, 0.000)

Energy relative to the elements, uncorrected = -1.40 eV per atom
Magnetization = 0.00 μB/cell
Final energy = -7.2689 eV per atom



# 8
Crystalline Y2Si2O7 at its relaxed geometry, computed with PBE.

Cell lengths 8.127, 5.118, 7.450 Å; angles 72.94, 90.00, 90.00 degrees
Sites, in units of the cell vectors:
Y (0.500, 0.000, 0.000)
Y (0.000, 0.000, 0.000)
Y (0.000, 0.500, 0.500)
Y (0.500, 0.500, 0.500)
Si (0.250, 0.477, 0.106)
Si (0.750, 0.102, 0.317)
Si (0.750, 0.523, 0.894)
Si (0.250, 0.898, 0.683)
O (0.250, 0.745, 0.915)
O (0.250, 0.186, 0.058)
O (0.418, 0.078, 0.670)
O (0.250, 0.680, 0.562)
O (0.920, 0.461, 0.798)
O (0.750, 0.255, 0.085)
O (0.918, 0.922, 0.330)
O (0.750, 0.320, 0.438)
O (0.750, 0.814, 0.942)
O (0.080, 0.539, 0.202)
O (0.582, 0.922, 0.330)
O (0.580, 0.461, 0.798)
O (0.082, 0.078, 0.670)
O (0.420, 0.539, 0.202)

Energy relative to the elements, uncorrected = -3.19 eV per atom
Magnetization = 0.00 μB/cell
Final energy = -8.5046 eV per atom



- Look up the final energy of the fifth one.
  -6.4323 eV per atom



Repeat the fifth record exactly.
Crystalline YSiO3 at its relaxed geometry, computed with PBE.

Cell lengths 4.285, 4.285, 4.285 Å; angles 90.00, 90.00, 90.00 degrees
Last column: magnetic moment on the atom in μB.
Sites, in units of the cell vectors:
Y (0.000, 0.000, 0.000)  -0.02
Si (0.500, 0.500, 0.500)  0.04
O (0.000, 0.500, 0.000)  -0.27
O (0.000, 0.000, 0.500)  -0.44
O (0.500, 0.000, 0.000)  -0.23

Energy relative to the elements, uncorrected = -1.08 eV per atom
Magnetization = 1.00 μB/cell
Final energy = -6.4323 eV per atom



- Which value of magnetization does entry 8 give?
  0.00 μB/cell